PuGe2 (GGA-PBE, optimized geometry); calculated total energy = -8.130 eV per atom; formation enthalpy at 0 K = -0.275 eV per atom
1.0
5.571 0.000 0.000
2.786 4.825 0.000
2.786 1.608 4.549
Ge Pu
4 2
Direct
0.125 0.625 0.625
0.625 0.125 0.625
0.625 0.625 0.625
0.625 0.625 0.125
0.000 0.000 0.000
0.250 0.250 0.250

---

Cs2GeF (GGA-PBE, optimized geometry); calculated total energy = -2.789 eV per atom; formation energy from raw total energies = -0.7400 eV per atom; polymorph energy (0 for the lowest one) = 189.4 meV per atom
1.0
-5.768 -0.573 1.772
-3.676 4.819 -0.040
-4.473 0.366 -4.074
Cs Ge F
2 1 1
Direct
0.250 0.250 0.250
0.750 0.750 0.750
0.500 0.500 0.500
0.000 0.000 0.000

---

La2NdZn (GGA-PBE, optimized geometry); calculated total energy = -4.122 eV per atom; formation enthalpy at 0 K = -0.148 eV per atom; polymorph energy (0 for the lowest one) = 0.0 meV per atom
1.0
-0.619 2.715 -2.525
1.644 -2.094 -2.655
-7.880 -3.654 -1.997
Zn Nd La
1 1 2
Direct
0.500 0.500 0.000
0.500 0.500 0.500
0.000 0.000 0.791
0.000 0.000 0.209

---

Li3VPd12 (GGA-PBE, optimized geometry); calculated total energy = -5.082 eV per atom; formation enthalpy at 0 K = -0.259 eV per atom
1.0
3.892 0.000 0.000
0.000 3.892 0.000
0.000 0.000 15.550
Li V Pd
3 1 12
Direct
0.000 0.000 0.252
0.000 0.000 0.500
0.000 0.000 0.748
0.000 0.000 0.000
0.500 0.500 0.000
0.500 0.500 0.249
0.500 0.500 0.500
0.500 0.500 0.751
0.500 0.000 0.122
0.500 0.000 0.375
0.500 0.000 0.625
0.500 0.000 0.878
0.000 0.500 0.122
0.000 0.500 0.375
0.000 0.500 0.625
0.000 0.500 0.878

---

Pu2UO6 (GGA-PBE, optimized geometry); calculated total energy = -10.994 eV per atom; formation energy from raw total energies = -3.2493 eV per atom
1.0
3.643 0.000 -1.178
-0.799 4.744 -2.474
0.118 0.372 6.589
Pu U O
2 1 6
Direct
0.333 0.333 0.666
0.667 0.667 0.334
0.000 0.000 0.000
0.838 0.083 0.677
0.162 0.406 0.323
0.162 0.917 0.323
0.500 0.240 0.000
0.838 0.594 0.677
0.500 0.760 0.000

---

RbBa2AuO (GGA-PBE, optimized geometry); calculated total energy = -3.654 eV per atom; formation energy from raw total energies = -1.0443 eV per atom
1.0
-0.271 2.621 -4.715
-2.867 -4.069 -2.097
-4.784 2.510 1.670
O Au Ba Rb
1 1 2 1
Direct
0.000 0.000 0.000
0.500 0.500 0.500
0.000 0.500 0.000
0.500 0.000 0.000
0.000 0.000 0.500